[1]
First-principles (PBE-GGA) data for crystalline TlCrSi2 at its relaxed geometry, as listed in the Alexandria database.

For the energy above the most stable polymorph in this dataset, the calculation gives 765 meV/atom. As for the uncorrected formation energy: 23.10 kcal/mol of atoms. The value obtained for the total energy is -75.31 eV for the cell shown. As for the crystal system: cubic.

It has space group Fm-3m (No. 225), with a = 6.480 Å, b = 6.480 Å, c = 6.480 Å, α = 90.00°, β = 90.00° and γ = 90.00°. The asymmetric unit holds Tl at (0.000, 0.000, 0.000), Cr at (0.000, 0.000, 0.500) and Si at (0.250, 0.250, 0.250).


[2]
First-principles (PBE-GGA) data for crystalline MgNbCu at its relaxed geometry, as listed in the Alexandria database.

The formation energy is 0.3 eV per formula unit. For the energy above the most stable polymorph in this dataset, the calculation gives 70 meV/atom. The value obtained for the total energy is -30.84 eV for the cell shown. As for the crystal system: triclinic.

It has space group P-1 (No. 2), with a = 2.774 Å, b = 5.098 Å, c = 7.586 Å, α = 74.82°, β = 81.23° and γ = 75.35°. The asymmetric unit holds Mg at (0.014, 0.186, 0.296), Nb at (0.293, 0.730, 0.083) and Cu at (0.308, 0.309, 0.594).


[3]
First-principles (PBE-GGA) data for crystalline ScTa2Cd at its relaxed geometry, as listed in the Alexandria database.

The formation energy is 0.8 eV per formula unit. The value obtained for the total energy is -60.32 eV for the cell shown. As for the crystal system: orthorhombic.

It has space group Immm (No. 71), with a = 3.364 Å, b = 4.647 Å, c = 10.154 Å, α = 90.00°, β = 90.00° and γ = 90.00°. The asymmetric unit holds Sc at (0.000, 0.000, 0.000), Ta at (0.000, 0.500, 0.242) and Cd at (0.000, 0.000, 0.500).


[4]
First-principles (PBE-GGA) data for crystalline PtRh2Au at its relaxed geometry, as listed in the Alexandria database.

The formation energy is 0.5 eV per formula unit. For the energy above the most stable polymorph in this dataset, the calculation gives 63 meV/atom. The value obtained for the total energy is -47.07 eV for the cell shown. As for the crystal system: orthorhombic.

It has space group Cmmm (No. 65), with a = 5.610 Å, b = 7.872 Å, c = 2.798 Å, α = 90.00°, β = 90.00° and γ = 90.00°. The asymmetric unit holds Pt at (0.000, 0.000, 0.000), Rh at (0.250, 0.250, 0.500) and Au at (0.000, 0.500, 0.000).